No. 1
{"formula": "BaNb2Cr", "functional": "PBE-GGA", "state": "optimized geometry", "lattice": [[0.0000, 3.4130, 3.4130], [3.4130, 0.0000, 3.4130], [3.4130, 3.4130, 0.0000]], "species": ["Nb", "Nb", "Ba", "Cr"], "frac_coords": [[0.2500, 0.2500, 0.2500], [0.7500, 0.7500, 0.7500], [0.5000, 0.5000, 0.5000], [0.0000, 0.0000, 0.0000]], "spacegroup": "Fm-3m (225)", "relative_energy_ev_per_atom": 0.000, "crystal_system": "cubic", "ef_ev_per_atom": 1.2463}

***

No. 2
{"formula": "Ba2Nb2Cr", "functional": "PBE-GGA", "state": "optimized geometry", "lattice": [[6.5377, 0.0000, 0.0000], [0.0000, 6.5377, 0.0000], [0.0000, 0.0000, 6.1109]], "species": ["Ba", "Ba", "Cr", "Nb", "Cr", "Nb", "Nb", "Nb", "Ba", "Ba"], "frac_coords": [[0.8164, 0.3164, 0.5000], [0.6836, 0.8164, 0.5000], [0.0000, 0.0000, 0.0000], [0.8432, 0.6568, 0.0000], [0.5000, 0.5000, 0.0000], [0.3432, 0.8432, 0.0000], [0.1568, 0.3432, 0.0000], [0.6568, 0.1568, 0.0000], [0.3164, 0.1836, 0.5000], [0.1836, 0.6836, 0.5000]], "spacegroup": "P4/mbm (127)", "relative_energy_ev_per_atom": 0.000, "crystal_system": "tetragonal", "ef_ev_per_atom": 0.9403}

***

No. 3
{"formula": "BaNb2Cr", "functional": "PBE-GGA", "state": "optimized geometry", "lattice": [[-6.4198, -3.0123, 1.2256], [0.8061, -4.1014, -5.8582], [-0.5793, -7.1547, 0.5091]], "species": ["Ba", "Cr", "Nb", "Nb", "Nb", "Ba", "Nb", "Cr"], "frac_coords": [[0.0000, 0.0000, 0.0000], [0.2500, 0.7500, 0.5000], [0.3751, 0.1250, 0.2500], [0.3750, 0.6249, 0.7500], [0.3749, 0.6250, 0.2500], [0.7500, 0.2500, 0.5000], [0.8750, 0.6251, 0.7500], [0.5000, 0.5000, 0.0000]], "spacegroup": "Fd-3m (227)", "relative_energy_ev_per_atom": 0.139, "crystal_system": "cubic", "ef_ev_per_atom": 1.3856}

***

Quick rundown of total magnetic moment, same order as above: 0.0000, 0.0018, 0.0000 μB per atom
Quick rundown of volume, same order as above: 80, 261, 264 Å³/cell